DFT (PBE) results for a geometry-optimized AcTm2P structure.

- total moment (μB per cell) = 0.0
- calculated formation energy (eV/atom) = -0.56

The structure in CIF format:
```
data_AcTm2P
_space_group_name_H-M_alt 'R -3 m'
_space_group_IT_number 166
_space_group_name_Hall '-R 3 2"'
_cell_length_a 3.7648
_cell_length_b 3.7648
_cell_length_c 31.5016
_cell_angle_alpha 90.00
_cell_angle_beta 90.00
_cell_angle_gamma 120.00
loop_
_atom_site_label
_atom_site_type_symbol
_atom_site_fract_x
_atom_site_fract_y
_atom_site_fract_z
Ac1 Ac 0.0000 0.0000 0.0000
Tm1 Tm 0.0000 0.0000 0.1162
P1 P 0.0000 0.0000 0.5000
```